(1)
An optimized crystal structure of Ge2HCl, computed with PBE.

a = 7.660 Å, b = 7.660 Å, c = 7.660 Å
α = 142.50°, β = 142.50°, γ = 54.07°
Positions (direct):
Ge: 0.375 0.225 0.350
Ge: 0.775 0.125 0.150
Ge: 0.875 0.025 0.650
Ge: 0.975 0.625 0.850
H: 0.000 0.000 0.000
H: 0.750 0.250 0.500
Cl: 0.250 0.750 0.500
Cl: 0.500 0.500 0.000

Calculated values
As for the symmetry: I-42d, No. 122. The calculation puts the offset from the most stable computed form at 0 meV/atom. As for the magnetization: 0.0 μB per formula unit. Its crystal system is tetragonal. The total energy is -26.207 eV/cell.

(2)
An optimized crystal structure of La4Sb2F, computed with PBE.

a = 9.431 Å, b = 9.431 Å, c = 9.431 Å
α = 150.16°, β = 150.16°, γ = 42.71°
Positions (direct):
La: 0.000 0.500 0.500
La: 0.177 0.177 0.000
La: 0.500 0.000 0.500
La: 0.823 0.823 0.000
Sb: 0.363 0.363 0.000
Sb: 0.637 0.637 0.000
F: 0.000 0.000 0.000

Calculated values
As for the symmetry: I4/mmm, No. 139. As for the magnetization: 0.0 μB per formula unit. The uncorrected formation energy comes out at -9.776 eV per formula unit. Its crystal system is tetragonal. The total energy is -39.602 eV/cell.

(3)
An optimized crystal structure of TeOsPb2, computed with PBE.

a = 7.364 Å, b = 7.364 Å, c = 7.364 Å
α = 153.73°, β = 142.64°, γ = 46.25°
Positions (direct):
Te: 0.000 0.000 0.000
Os: 0.152 0.652 0.500
Pb: 0.353 0.353 0.000
Pb: 0.689 0.189 0.500

Calculated values
As for the symmetry: Imm2, No. 44. As for the magnetization: 0.0 μB per formula unit. The uncorrected formation energy comes out at 1.853 eV per formula unit. Its crystal system is orthorhombic. The total energy is -19.935 eV/cell.

| no. | N(E_F) (states/eV/f.u.) |
| --- | --- |
| 1 | 1.72 |
| 2 | 9.71 |
| 3 | 2.44 |